# 1
Here is a relaxed MnTcOs2 crystal from the Alexandria database. Energies are from PBE.

a b c (Å): 6.107 6.107 6.107
angles (deg): 90.00 90.00 90.00
Space group Fm-3m (No. 225)
Symmetry-distinct sites (fractional):
Mn  0.000  0.000  0.000 [4 per cell]
Tc  0.000  0.000  0.500 [4 per cell]
Os  0.250  0.250  0.250 [8 per cell]

Formation enthalpy at 0 K ... 0.355 eV per atom
Magnetic moment ... 3.0 μB per formula unit
Energy above the most stable polymorph in this dataset ... 291.7 meV/atom


# 2
Here is a relaxed SmHoCdAu crystal from the Alexandria database. Energies are from PBE.

a b c (Å): 3.694 3.694 7.406
angles (deg): 90.00 90.00 90.00
Space group P4mm (No. 99)
Symmetry-distinct sites (fractional):
Sm  0.000  0.000  0.000 [1 per cell]
Ho  0.000  0.000  0.527 [1 per cell]
Cd  0.500  0.500  0.272 [1 per cell]
Au  0.500  0.500  0.744 [1 per cell]

Formation enthalpy at 0 K ... -0.575 eV per atom
Magnetic moment ... 0.0 μB per formula unit
Energy above the most stable polymorph in this dataset ... 0.0 meV/atom


# 3
Here is a relaxed K3CoPb crystal from the Alexandria database. Energies are from PBE.

a b c (Å): 6.799 6.799 6.799
angles (deg): 90.00 90.00 90.00
Space group Pm-3m (No. 221)
Symmetry-distinct sites (fractional):
K  0.000  0.000  0.500 [3 per cell]
Co  0.500  0.500  0.500 [1 per cell]
Pb  0.000  0.000  0.000 [1 per cell]

Formation enthalpy at 0 K ... 0.875 eV per atom
Magnetic moment ... 4.0 μB per formula unit